VASP calculation (PBE with a Hubbard U) on a geometry-optimized TaMnGaO6 structure.

Results
The raw total energy is -7.815 eV/atom.

abc: 4.6293 4.6293 9.0261
angles: 90.00 90.00 90.00
With the nearest neighbours (Å) after each atom.
Space group P4_2nm (No. 102)
Symmetry-distinct sites (fractional):
Ta  0.0000  0.0000  0.0000 (multiplicity 2)  6 O 1.98-2.02
Mn  0.0000  0.0000  0.3349 (multiplicity 2)  6 O 1.93-1.95
Ga  0.0000  0.0000  0.6665 (multiplicity 2)  6 O 1.98-2.03
O  0.1919  0.1919  0.4975 (multiplicity 4)  1 Mn 1.93, 1 Ga 1.98, 1 Ta 2.02
O  0.1927  0.1927  0.1709 (multiplicity 4)  1 Mn 1.95, 1 Ta 1.99, 1 Ga 2.01
O  0.2030  0.2030  0.8369 (multiplicity 4)  1 Mn 1.94, 1 Ta 1.98, 1 Ga 2.03